1.
{
  "formula": "NdYCo",
  "functional": "PBE-GGA",
  "state": "relaxed",
  "lattice_angstrom": [[3.433, 0.000, 0.000], [0.000, 3.433, 0.000], [-1.716, -1.716, 6.476]],
  "species": ["Nd", "Y", "Co"],
  "frac_coords": [[0.037, 0.037, 0.074], [0.292, 0.292, 0.585], [0.670, 0.670, 0.341]],
  "polymorph_energy_ev_per_atom": 0.050,
  "volume_a3_per_atom": 25.43,
  "energy_ev_per_atom": -6.1448,
  "formation_enthalpy_0k_ev_per_atom": -0.0322,
  "m_tot_mub_per_cell": 0.740
}

2.
{
  "formula": "NdGaAg2F8",
  "functional": "PBE-GGA",
  "state": "relaxed",
  "lattice_angstrom": [[4.417, -0.197, -0.002], [-0.170, 5.821, -0.007], [0.004, 0.008, 7.083]],
  "species": ["F", "F", "F", "F", "F", "F", "Ag", "F", "Nd", "Ga", "Ag", "F"],
  "frac_coords": [[0.355, 0.192, 0.000], [0.551, 0.770, 0.500], [0.884, 0.194, 0.783], [0.116, 0.806, 0.783], [0.645, 0.808, 0.000], [0.449, 0.230, 0.500], [0.500, 0.500, 0.775], [0.884, 0.194, 0.217], [0.000, 0.000, 0.500], [0.000, 0.000, 0.000], [0.500, 0.500, 0.225], [0.116, 0.806, 0.217]],
  "volume_a3_per_atom": 15.16,
  "energy_ev_per_atom": -4.8682,
  "raw_formation_energy_mev_per_atom": -2495.8,
  "m_tot_mub_per_cell": 0.000
}

3.
{
  "formula": "ScPa2Si",
  "functional": "PBE-GGA",
  "state": "relaxed",
  "lattice_angstrom": [[4.672, 0.000, 0.000], [0.000, 4.266, 0.000], [0.000, 0.000, 4.266]],
  "species": ["Pa", "Sc", "Si", "Pa"],
  "frac_coords": [[0.000, 0.500, 0.000], [0.500, 0.000, 0.000], [0.500, 0.500, 0.500], [0.000, 0.000, 0.500]],
  "polymorph_energy_ev_per_atom": 0.000,
  "volume_a3_per_atom": 21.25,
  "energy_ev_per_atom": -7.9737,
  "raw_formation_energy_mev_per_atom": -287.1,
  "m_tot_mub_per_cell": 0.000
}

4.
{
  "formula": "Ta3Ti2Nb4",
  "functional": "PBE-GGA",
  "state": "relaxed",
  "lattice_angstrom": [[6.444, -0.497, -0.743], [-0.601, 6.435, -0.743], [0.036, 0.037, 7.957]],
  "species": ["Nb", "Ta", "Ta", "Nb", "Ta", "Ti", "Nb", "Ti", "Ta", "Ta", "Nb", "Ta", "Ti", "Ti", "Nb", "Nb", "Nb", "Nb"],
  "frac_coords": [[0.598, 0.846, 0.584], [0.044, 0.294, 0.257], [0.956, 0.706, 0.743], [0.402, 0.154, 0.416], [0.294, 0.044, 0.757], [0.487, 0.733, 0.915], [0.846, 0.598, 0.084], [0.513, 0.267, 0.085], [0.706, 0.956, 0.243], [0.625, 0.375, 0.750], [0.929, 0.181, 0.579], [0.375, 0.625, 0.250], [0.267, 0.513, 0.585], [0.733, 0.487, 0.415], [0.819, 0.071, 0.921], [0.154, 0.402, 0.916], [0.071, 0.819, 0.421], [0.181, 0.929, 0.079]],
  "volume_a3_per_atom": 18.22,
  "energy_ev_per_atom": -10.0603,
  "formation_enthalpy_0k_ev_per_atom": 0.1204,
  "m_tot_mub_per_cell": 0.000
}

5.
{
  "formula": "CsAlTe3",
  "functional": "PBE-GGA",
  "state": "relaxed",
  "lattice_angstrom": [[6.430, 0.000, 0.000], [0.000, 6.430, 0.000], [0.000, 0.000, 6.430]],
  "species": ["Al", "Cs", "Te", "Te", "Te"],
  "frac_coords": [[0.500, 0.500, 0.500], [0.000, 0.000, 0.000], [0.500, 0.000, 0.000], [0.000, 0.000, 0.500], [0.000, 0.500, 0.000]],
  "polymorph_energy_ev_per_atom": 1.674,
  "volume_a3_per_atom": 53.18,
  "energy_ev_per_atom": -1.7946,
  "raw_formation_energy_mev_per_atom": 1009.6,
  "m_tot_mub_per_cell": 0.001
}

6.
{
  "formula": "Sm3YIn2",
  "functional": "PBE-GGA",
  "state": "relaxed",
  "lattice_angstrom": [[5.287, 0.000, 0.000], [0.000, 6.815, 0.000], [0.000, 0.000, 9.957]],
  "species": ["In", "Sm", "Sm", "In", "Y", "Sm", "In", "Sm", "In", "Sm", "Y", "Sm"],
  "frac_coords": [[0.500, 0.213, 0.146], [0.000, 0.968, 0.036], [0.000, 0.468, 0.964], [0.000, 0.288, 0.644], [0.500, 0.030, 0.462], [0.500, 0.194, 0.820], [0.000, 0.788, 0.356], [0.000, 0.807, 0.676], [0.500, 0.713, 0.854], [0.500, 0.694, 0.180], [0.500, 0.530, 0.538], [0.000, 0.307, 0.324]],
  "polymorph_energy_ev_per_atom": 0.000,
  "volume_a3_per_atom": 29.90,
  "energy_ev_per_atom": -4.7120,
  "formation_enthalpy_0k_ev_per_atom": -0.3623,
  "m_tot_mub_per_cell": 0.001
}